Record 1
# GGA-PBE ErCdSnHg, relaxed
data_ErCdSnHg
_chemical_formula_sum 'Er1 Cd1 Sn1 Hg1'
_symmetry_space_group_name_H-M 'P 1'
_symmetry_Int_Tables_number 1
_cell_length_a 5.1918
_cell_length_b 5.1918
_cell_length_c 5.1918
_cell_angle_alpha 60.00
_cell_angle_beta 60.00
_cell_angle_gamma 60.00
loop_
_symmetry_equiv_pos_as_xyz
'x,y,z'
loop_
_atom_site_label
_atom_site_type_symbol
_atom_site_fract_x
_atom_site_fract_y
_atom_site_fract_z
Sn1 Sn 0.2500 0.2500 0.2500
Cd1 Cd 0.5000 0.5000 0.5000
Hg1 Hg 0.7500 0.7500 0.7500
Er1 Er 0.0000 0.0000 0.0000
# Calculated formation energy: -0.960 eV per formula unit
# Relative energy among the computed polymorphs: 0.1579 eV/atom
# M_tot: 0.00 μB per formula unit

Record 2
# GGA-PBE RbSO2, relaxed
data_RbSO2
_chemical_formula_sum 'Rb1 S1 O2'
_symmetry_space_group_name_H-M 'P 1'
_symmetry_Int_Tables_number 1
_cell_length_a 7.1740
_cell_length_b 7.1740
_cell_length_c 7.1740
_cell_angle_alpha 29.24
_cell_angle_beta 29.24
_cell_angle_gamma 29.24
loop_
_symmetry_equiv_pos_as_xyz
'x,y,z'
loop_
_atom_site_label
_atom_site_type_symbol
_atom_site_fract_x
_atom_site_fract_y
_atom_site_fract_z
O1 O 0.0771 0.0771 0.0771
S1 S 0.0000 0.0000 0.0000
Rb1 Rb 0.5000 0.5000 0.5000
O2 O 0.9229 0.9229 0.9229
# Energy relative to the elements, uncorrected: -2.8 eV/f.u.
# M_tot: 0.00 μB per formula unit

Record 3
# GGA-PBE ZrHO, relaxed
data_ZrHO
_chemical_formula_sum 'Zr1 H1 O1'
_symmetry_space_group_name_H-M 'P 1'
_symmetry_Int_Tables_number 1
_cell_length_a 3.5826
_cell_length_b 3.5826
_cell_length_c 3.5826
_cell_angle_alpha 60.00
_cell_angle_beta 60.00
_cell_angle_gamma 60.00
loop_
_symmetry_equiv_pos_as_xyz
'x,y,z'
loop_
_atom_site_label
_atom_site_type_symbol
_atom_site_fract_x
_atom_site_fract_y
_atom_site_fract_z
O1 O 0.0000 0.0000 0.0000
H1 H 0.5000 0.5000 0.5000
Zr1 Zr 0.2500 0.2500 0.2500
# Relative energy among the computed polymorphs: 0.0784 eV/atom
# M_tot: 0.66 μB per formula unit

Record 4
# GGA-PBE LiHoGe, relaxed
data_LiHoGe
_chemical_formula_sum 'Li2 Ho2 Ge2'
_symmetry_space_group_name_H-M 'P 1'
_symmetry_Int_Tables_number 1
_cell_length_a 4.1554
_cell_length_b 4.1554
_cell_length_c 7.0491
_cell_angle_alpha 90.00
_cell_angle_beta 90.00
_cell_angle_gamma 90.00
loop_
_symmetry_equiv_pos_as_xyz
'x,y,z'
loop_
_atom_site_label
_atom_site_type_symbol
_atom_site_fract_x
_atom_site_fract_y
_atom_site_fract_z
Ge1 Ge 0.0000 0.5000 0.2538
Li1 Li 0.5000 0.5000 0.5000
Ho1 Ho 0.5000 0.0000 0.1658
Li2 Li 0.0000 0.0000 0.5000
Ho2 Ho 0.0000 0.5000 0.8342
Ge2 Ge 0.5000 0.0000 0.7462
# Calculated formation energy: -2.007 eV per formula unit
# M_tot: 0.00 μB per formula unit

Record 5
# GGA-PBE PmBeGe2Pt, relaxed
data_PmBeGe2Pt
_chemical_formula_sum 'Pm1 Be1 Ge2 Pt1'
_symmetry_space_group_name_H-M 'P 1'
_symmetry_Int_Tables_number 1
_cell_length_a 4.0957
_cell_length_b 4.0957
_cell_length_c 6.0308
_cell_angle_alpha 109.85
_cell_angle_beta 109.85
_cell_angle_gamma 90.00
loop_
_symmetry_equiv_pos_as_xyz
'x,y,z'
loop_
_atom_site_label
_atom_site_type_symbol
_atom_site_fract_x
_atom_site_fract_y
_atom_site_fract_z
Be1 Be 0.7500 0.2500 0.5000
Ge1 Ge 0.6189 0.6189 0.2377
Pm1 Pm 0.0000 0.0000 0.0000
Pt1 Pt 0.2500 0.7500 0.5000
Ge2 Ge 0.3811 0.3811 0.7623
# Calculated formation energy: -3.334 eV per formula unit
# M_tot: 0.00 μB per formula unit

Record 6
# GGA-PBE Re2PRu, relaxed
data_Re2PRu
_chemical_formula_sum 'Re2 P1 Ru1'
_symmetry_space_group_name_H-M 'P 1'
_symmetry_Int_Tables_number 1
_cell_length_a 4.3269
_cell_length_b 4.3269
_cell_length_c 4.3269
_cell_angle_alpha 60.00
_cell_angle_beta 60.00
_cell_angle_gamma 60.00
loop_
_symmetry_equiv_pos_as_xyz
'x,y,z'
loop_
_atom_site_label
_atom_site_type_symbol
_atom_site_fract_x
_atom_site_fract_y
_atom_site_fract_z
Ru1 Ru 0.2500 0.2500 0.2500
Re1 Re 0.0000 0.0000 0.0000
Re2 Re 0.7500 0.7500 0.7500
P1 P 0.5000 0.5000 0.5000
# Calculated formation energy: 1.508 eV per formula unit
# M_tot: 0.00 μB per formula unit

Record 7
# GGA-PBE PuThMnOs, relaxed
data_PuThMnOs
_chemical_formula_sum 'Pu1 Th1 Mn1 Os1'
_symmetry_space_group_name_H-M 'P 1'
_symmetry_Int_Tables_number 1
_cell_length_a 4.9157
_cell_length_b 4.9157
_cell_length_c 4.9157
_cell_angle_alpha 60.00
_cell_angle_beta 60.00
_cell_angle_gamma 60.00
loop_
_symmetry_equiv_pos_as_xyz
'x,y,z'
loop_
_atom_site_label
_atom_site_type_symbol
_atom_site_fract_x
_atom_site_fract_y
_atom_site_fract_z
Pu1 Pu 0.7500 0.7500 0.7500
Th1 Th 0.2500 0.2500 0.2500
Mn1 Mn 0.0000 0.0000 0.0000
Os1 Os 0.5000 0.5000 0.5000
# Calculated formation energy: 0.067 eV per formula unit
# M_tot: 2.43 μB per formula unit

Record 8
# GGA-PBE PaNiB3, relaxed
data_PaNiB3
_chemical_formula_sum 'Pa2 Ni2 B6'
_symmetry_space_group_name_H-M 'P 1'
_symmetry_Int_Tables_number 1
_cell_length_a 3.7632
_cell_length_b 3.4208
_cell_length_c 9.3652
_cell_angle_alpha 100.52
_cell_angle_beta 90.00
_cell_angle_gamma 90.00
loop_
_symmetry_equiv_pos_as_xyz
'x,y,z'
loop_
_atom_site_label
_atom_site_type_symbol
_atom_site_fract_x
_atom_site_fract_y
_atom_site_fract_z
Pa1 Pa 0.5000 0.8343 0.6686
B1 B 0.0000 0.2719 0.5439
Ni1 Ni 0.0000 0.6020 0.2041
B2 B 0.0000 0.9553 0.9105
B3 B 0.5000 0.5453 0.0905
B4 B 0.0000 0.0447 0.0895
Ni2 Ni 0.0000 0.3980 0.7959
Pa2 Pa 0.5000 0.1657 0.3314
B5 B 0.5000 0.4547 0.9095
B6 B 0.0000 0.7281 0.4561
# Calculated formation energy: 0.041 eV per formula unit
# M_tot: 0.00 μB per formula unit

Record 9
# GGA-PBE BaMn2PbI8, relaxed
data_BaMn2PbI8
_chemical_formula_sum 'Ba1 Mn2 Pb1 I8'
_symmetry_space_group_name_H-M 'P 1'
_symmetry_Int_Tables_number 1
_cell_length_a 7.5236
_cell_length_b 7.5236
_cell_length_c 10.7700
_cell_angle_alpha 90.00
_cell_angle_beta 90.00
_cell_angle_gamma 120.00
loop_
_symmetry_equiv_pos_as_xyz
'x,y,z'
loop_
_atom_site_label
_atom_site_type_symbol
_atom_site_fract_x
_atom_site_fract_y
_atom_site_fract_z
I1 I 0.3121 0.3212 0.2963
Mn1 Mn 0.6667 0.3333 0.2404
I2 I 0.6788 0.9910 0.2963
Mn2 Mn 0.3333 0.6667 0.7596
I3 I 0.0090 0.6879 0.2963
I4 I 0.3333 0.6667 0.0054
Ba1 Ba 0.0000 0.0000 0.0000
Pb1 Pb 0.0000 0.0000 0.5000
I5 I 0.9910 0.3121 0.7037
I6 I 0.6667 0.3333 0.9946
I7 I 0.6879 0.6788 0.7037
I8 I 0.3212 0.0090 0.7037
# Energy relative to the elements, uncorrected: -8.9 eV/f.u.
# M_tot: 10.00 μB per formula unit

Record 10
# GGA-PBE Ce2CrB10, relaxed
data_Ce2CrB10
_chemical_formula_sum 'Ce4 Cr2 B20'
_symmetry_space_group_name_H-M 'P 1'
_symmetry_Int_Tables_number 1
_cell_length_a 4.1573
_cell_length_b 5.6809
_cell_length_c 11.3286
_cell_angle_alpha 90.00
_cell_angle_beta 90.00
_cell_angle_gamma 90.00
loop_
_symmetry_equiv_pos_as_xyz
'x,y,z'
loop_
_atom_site_label
_atom_site_type_symbol
_atom_site_fract_x
_atom_site_fract_y
_atom_site_fract_z
B1 B 0.2997 0.2159 0.1163
B2 B 0.0000 0.1394 0.6973
Ce1 Ce 0.5000 0.7115 0.1342
Cr1 Cr 0.0000 0.5000 0.5000
Ce2 Ce 0.5000 0.2115 0.3658
B3 B 0.0000 0.3606 0.1973
Ce3 Ce 0.5000 0.2885 0.8658
B4 B 0.0000 0.9502 0.8099
B5 B 0.0000 0.4502 0.6901
B6 B 0.0000 0.8606 0.3027
B7 B 0.2997 0.2841 0.6163
B8 B 0.0000 0.5498 0.3099
B9 B 0.0000 0.0498 0.1901
B10 B 0.0000 0.1232 0.5405
B11 B 0.7003 0.2159 0.1163
B12 B 0.2997 0.7159 0.3837
B13 B 0.0000 0.6232 0.9595
Cr2 Cr 0.0000 0.0000 0.0000
Ce4 Ce 0.5000 0.7885 0.6342
B14 B 0.0000 0.3768 0.0405
B15 B 0.0000 0.6394 0.8027
B16 B 0.0000 0.8768 0.4595
B17 B 0.7003 0.7841 0.8837
B18 B 0.7003 0.2841 0.6163
B19 B 0.2997 0.7841 0.8837
B20 B 0.7003 0.7159 0.3837
# Calculated formation energy: -6.322 eV per formula unit
# M_tot: 0.87 μB per formula unit

Record 11
# GGA-PBE PmHo5Tm3, relaxed
data_PmHo5Tm3
_chemical_formula_sum 'Pm2 Ho10 Tm6'
_symmetry_space_group_name_H-M 'P 1'
_symmetry_Int_Tables_number 1
_cell_length_a 9.2669
_cell_length_b 9.2669
_cell_length_c 12.7809
_cell_angle_alpha 51.06
_cell_angle_beta 51.06
_cell_angle_gamma 50.60
loop_
_symmetry_equiv_pos_as_xyz
'x,y,z'
loop_
_atom_site_label
_atom_site_type_symbol
_atom_site_fract_x
_atom_site_fract_y
_atom_site_fract_z
Tm1 Tm 0.1692 0.1692 0.6624
Pm1 Pm 0.1041 0.1041 0.1313
Ho1 Ho 0.0775 0.4921 0.7795
Tm2 Tm 0.6967 0.6967 0.6818
Tm3 Tm 0.0000 0.0000 0.0000
Ho2 Ho 0.6785 0.3215 0.0000
Ho3 Ho 0.4921 0.0775 0.7795
Tm4 Tm 0.3033 0.3033 0.3182
Tm5 Tm 0.0000 0.0000 0.5000
Ho4 Ho 0.5569 0.5569 0.5665
Ho5 Ho 0.4431 0.4431 0.4335
Ho6 Ho 0.5079 0.9225 0.2205
Ho7 Ho 0.3700 0.3700 0.9289
Ho8 Ho 0.9225 0.5079 0.2205
Tm6 Tm 0.8308 0.8308 0.3376
Ho9 Ho 0.6300 0.6300 0.0711
Ho10 Ho 0.3215 0.6785 0.0000
Pm2 Pm 0.8959 0.8959 0.8687
# Calculated formation energy: 3.898 eV per formula unit
# Relative energy among the computed polymorphs: 0.3805 eV/atom
# M_tot: 0.00 μB per formula unit

Record 12
# GGA-PBE TcHg2P, relaxed
data_TcHg2P
_chemical_formula_sum 'Tc1 Hg2 P1'
_symmetry_space_group_name_H-M 'P 1'
_symmetry_Int_Tables_number 1
_cell_length_a 5.1730
_cell_length_b 5.1730
_cell_length_c 5.1730
_cell_angle_alpha 132.59
_cell_angle_beta 132.59
_cell_angle_gamma 69.29
loop_
_symmetry_equiv_pos_as_xyz
'x,y,z'
loop_
_atom_site_label
_atom_site_type_symbol
_atom_site_fract_x
_atom_site_fract_y
_atom_site_fract_z
Hg1 Hg 0.0000 0.0000 0.0000
P1 P 0.5000 0.5000 0.0000
Hg2 Hg 0.2500 0.7500 0.5000
Tc1 Tc 0.7500 0.2500 0.5000
# Calculated formation energy: 2.861 eV per formula unit
# M_tot: 1.72 μB per formula unit